Version a
Density functional theory data (PBE) for a geometry-optimized Sr2InS3 structure.

Lattice parameters (Å, degrees): 7.3360 7.3360 8.5090 106.81 106.81 47.35
With the nearest neighbours (Å) after each atom.
Fractional coordinates of all 12 atoms:
Sr (0.1659, 0.1660, 0.0830)  6 S 2.95-3.04
Sr (0.1660, 0.1659, 0.5830)  6 S 2.95-3.04
Sr (0.8340, 0.8341, 0.4170)  6 S 2.95-3.04
Sr (0.8341, 0.8340, 0.9170)  6 S 2.95-3.04
In (0.4993, 0.5007, 0.7500)  6 S 2.93-2.99
In (0.5007, 0.4993, 0.2500)  6 S 2.93-2.99
S (0.0015, 0.9985, 0.7500)  2 In 2.93-2.96, 4 Sr 3.00
S (0.3357, 0.3357, 0.4179)  4 Sr 2.95-3.04, 2 In 2.98-2.99
S (0.3357, 0.3357, 0.9179)  4 Sr 2.95-3.04, 2 In 2.98-2.99
S (0.6643, 0.6643, 0.0821)  4 Sr 2.95-3.04, 2 In 2.98-2.99
S (0.6643, 0.6643, 0.5821)  4 Sr 2.95-3.04, 2 In 2.98-2.99
S (0.9985, 0.0015, 0.2500)  2 In 2.93-2.96, 4 Sr 3.00


Version b
Density functional theory data (PBE) for a geometry-optimized Sr2InS3 structure.

Lattice parameters (Å, degrees): 8.7308 8.7308 8.7308 153.69 146.98 42.70
With the nearest neighbours (Å) after each atom.
Fractional coordinates of all 6 atoms:
Sr (0.1515, 0.1515, 0.0000)  7 S 2.95-3.19
Sr (0.8485, 0.8485, 0.0000)  7 S 2.95-3.19
In (0.5000, 0.5000, 0.0000)  4 S 2.48-2.71
S (0.0000, 0.5000, 0.5000)  2 In 2.48
S (0.3331, 0.3331, 0.0000)  1 In 2.71, 1 Sr 2.95
S (0.6669, 0.6669, 0.0000)  1 In 2.71, 1 Sr 2.95


Most stable: version a (next structure +9.9 kJ/mol of atoms)


Version a
Density functional theory data (PBE) for a geometry-optimized Sr2InS structure.

Lattice parameters (Å, degrees): 7.2731 7.2731 7.2731 110.42 110.42 107.58
With the nearest neighbours (Å) after each atom.
Fractional coordinates of all 8 atoms:
Sr (0.0718, 0.1250, 0.4468)  2 S 2.85
Sr (0.3750, 0.9282, 0.0532)  2 S 2.85
Sr (0.6782, 0.6250, 0.5532)  2 S 2.85
Sr (0.8750, 0.3218, 0.9468)  2 S 2.85
In (0.2500, 0.7500, 0.5000)  4 Sr 3.43
In (0.5000, 0.5000, 0.0000)  4 Sr 3.43
S (0.0000, 0.0000, 0.0000)  4 Sr 2.85
S (0.7500, 0.2500, 0.5000)  4 Sr 2.85


Version b
Density functional theory data (PBE) for a geometry-optimized Sr2InS structure.

Lattice parameters (Å, degrees): 9.1644 9.1644 9.1644 26.30 26.30 26.30
With the nearest neighbours (Å) after each atom.
Fractional coordinates of all 4 atoms:
Sr (0.2340, 0.2340, 0.2340)  3 S 3.00
Sr (0.7660, 0.7660, 0.7660)  3 S 3.00
In (0.0000, 0.0000, 0.0000)  6 Sr 3.57
S (0.5000, 0.5000, 0.5000)  6 Sr 3.00


Version c
Density functional theory data (PBE) for a geometry-optimized Sr2InS structure.

Lattice parameters (Å, degrees): 5.5786 5.5786 5.5786 60.00 60.00 60.00
With the nearest neighbours (Å) after each atom.
Fractional coordinates of all 4 atoms:
Sr (0.2500, 0.2500, 0.2500)  4 S 3.42, 4 In 3.42
Sr (0.7500, 0.7500, 0.7500)  4 S 3.42, 4 In 3.42
In (0.0000, 0.0000, 0.0000)  8 Sr 3.42
S (0.5000, 0.5000, 0.5000)  8 Sr 3.42


Most stable: version b (next structure +24.0 kJ/mol of atoms)